BaPaNbO6 | PBE | relaxed

Computed properties:
- ΔE_f (raw) (eV per atom) = -3.130
- V (Å³ per cell) = 319.02

abc: 5.7218 5.7218 11.2519
angles: 90.00 90.00 120.00
With the nearest neighbours (Å) after each atom.
Space group P-31c (No. 163)
Asymmetric unit:
Ba  0.0000  0.0000  0.0000 [2 per cell]  6 O 2.77
Pa  0.3333  0.6667  0.2500 [2 per cell]  6 O 2.18
Nb  0.3333  0.6667  0.7500 [2 per cell]  6 O 2.03
O  0.0196  0.3923  0.6506 [12 per cell]  1 Nb 2.03, 1 Pa 2.18


ReIO3 | PBE | relaxed

Computed properties:
- ΔE_f (raw) (eV per atom) = 1.097
- V (Å³ per cell) = 74.83

abc: 4.2140 4.2140 4.2140
angles: 90.00 90.00 90.00
With the nearest neighbours (Å) after each atom.
Space group Pm-3m (No. 221)
Asymmetric unit:
Re  0.0000  0.0000  0.0000 [1 per cell]  12 O 2.98
I  0.5000  0.5000  0.5000 [1 per cell]  6 O 2.11
O  0.0000  0.5000  0.5000 [3 per cell]  2 I 2.11


TiMnPb | PBE | relaxed

Computed properties:
- V (Å³ per cell) = 110.10
- energy of formation (eV per atom) = 0.20

abc: 3.0844 5.8200 6.7362
angles: 108.33 100.04 99.01
With the nearest neighbours (Å) after each atom.
Space group P-1 (No. 2)
Asymmetric unit:
Ti  0.1476  0.1136  0.3091 [2 per cell]  2 Mn 2.39-2.44
Mn  0.3923  0.1780  0.0016 [2 per cell]  1 Mn 2.27, 2 Ti 2.39-2.44
Pb  0.1352  0.6059  0.2739 [2 per cell]  4 Ti 2.88-3.12, 4 Mn 2.91-3.00, 2 Pb 3.08


Ta2InFeH | PBE | relaxed

Computed properties:
- V (Å³ per cell) = 70.42
- total DFT energy (no corrections) (eV per atom) = -7.576

abc: 4.1186 4.1186 4.1517
angles: 90.00 90.00 90.00
With the nearest neighbours (Å) after each atom.
Space group P4/mmm (No. 123)
Asymmetric unit:
Ta  0.0000  0.5000  0.0000 [2 per cell]  2 H 2.06
In  0.0000  0.0000  0.5000 [1 per cell]  4 Fe 2.91, 8 Ta 2.92
Fe  0.5000  0.5000  0.5000 [1 per cell]  2 H 2.08
H  0.5000  0.5000  0.0000 [1 per cell]  4 Ta 2.06, 2 Fe 2.08


Na3Sc3GaS8 | PBE | relaxed

Computed properties:
- ΔE_f (raw) (eV per atom) = -1.404
- V (Å³ per cell) = 962.27

abc: 7.3802 7.3802 20.4006
angles: 90.00 90.00 120.00
With the nearest neighbours (Å) after each atom.
Space group R-3m (No. 166, hexagonal axes)
Asymmetric unit:
Na  0.0000  0.5000  0.0000 [9 per cell]  6 S 2.87-2.89
Sc  0.0000  0.5000  0.5000 [9 per cell]  6 S 2.58-2.59
Ga  0.0000  0.0000  0.5000 [3 per cell]  6 S 2.51
S  0.0000  0.0000  0.2388 [6 per cell]  3 Sc 2.59, 3 Na 2.87
S  0.0087  0.5044  0.2363 [18 per cell]  1 Ga 2.51, 2 Sc 2.58


Ba2HoCdTe5 | PBE | relaxed

Computed properties:
- ΔE_f (raw) (eV per atom) = -1.235
- V (Å³ per cell) = 1324.42

abc: 4.5952 20.4434 14.0984
angles: 90.00 90.00 90.00
With the nearest neighbours (Å) after each atom.
Space group Cmc2_1 (No. 36)
Asymmetric unit:
Ba  0.0000  0.1173  0.0000 [4 per cell]  7 Te 3.50-3.75
Ba  0.0000  0.1280  0.6285 [4 per cell]  7 Te 3.51-3.69
Ho  0.0000  0.2062  0.3275 [4 per cell]  6 Te 3.02-3.16
Cd  0.0000  0.4426  0.7516 [4 per cell]  4 Te 2.78-3.00
Te  0.0000  0.0546  0.3693 [4 per cell]  2 Cd 2.83, 1 Ho 3.16
Te  0.0000  0.2921  0.9737 [4 per cell]  2 Ho 3.09
Te  0.0000  0.3051  0.6773 [4 per cell]  1 Cd 3.00, 2 Ho 3.13
Te  0.0000  0.3538  0.3178 [4 per cell]  1 Ho 3.02
Te  0.0000  0.4962  0.0752 [4 per cell]  1 Cd 2.78


Ho3Ga3Cu | PBE | relaxed

Computed properties:
- V (Å³ per cell) = 605.91
- energy of formation (eV per atom) = -0.58

abc: 10.5628 4.3242 14.1617
angles: 90.00 110.49 90.00
With the nearest neighbours (Å) after each atom.
Space group C2/m (No. 12)
Asymmetric unit:
Ho  0.0412  0.0000  0.3844 [4 per cell]  7 Ga 3.02-3.24, 4 Cu 3.05-3.15
Ho  0.1022  0.0000  0.9224 [4 per cell]  7 Ga 3.00-3.14
Ho  0.2444  0.0000  0.2282 [4 per cell]  6 Ga 3.03-3.11, 2 Cu 3.17
Ga  0.0353  0.5000  0.2337 [4 per cell]  1 Cu 2.58, 1 Ga 2.64
Ga  0.1127  0.5000  0.0758 [4 per cell]  2 Ga 2.59-2.64
Ga  0.1348  0.5000  0.5437 [4 per cell]  3 Cu 2.49-2.79, 1 Ga 2.68
Cu  0.2490  0.5000  0.3935 [4 per cell]  4 Ga 2.49-2.79


AlP2Pb | PBE | relaxed

Computed properties:
- V (Å³ per cell) = 165.92
- energy of formation (eV per atom) = 0.31

abc: 5.5398 7.7434 4.7426
angles: 90.00 125.36 90.00
With the nearest neighbours (Å) after each atom.
Space group C2/m (No. 12)
Asymmetric unit:
Al  0.0000  0.0000  0.0000 [2 per cell]  4 P 2.74, 2 Pb 2.77
P  0.2500  0.2500  0.5000 [4 per cell]  2 Pb 2.74, 2 Al 2.74, 2 P 2.77
Pb  0.0000  0.5000  0.0000 [2 per cell]  4 P 2.74, 2 Al 2.77


Li2CoCu | PBE | relaxed

Computed properties:
- V (Å³ per cell) = 99.02
- energy of formation (eV per atom) = 0.22

abc: 3.5182 3.5182 8.0001
angles: 90.00 90.00 90.00
With the nearest neighbours (Å) after each atom.
Space group I4/mmm (No. 139)
Asymmetric unit:
Li  0.0000  0.5000  0.2500 [4 per cell]  4 Li 2.49, 4 Co 2.66, 4 Cu 2.66
Co  0.0000  0.0000  0.0000 [2 per cell]  4 Cu 2.49, 8 Li 2.66
Cu  0.0000  0.0000  0.5000 [2 per cell]  4 Co 2.49, 8 Li 2.66


MgOs | PBE | relaxed

Computed properties:
- V (Å³ per cell) = 92.73
- energy of formation (eV per atom) = 0.29

abc: 2.8135 2.8135 13.5259
angles: 90.00 90.00 120.00
With the nearest neighbours (Å) after each atom.
Space group R-3m (No. 166, hexagonal axes)
Asymmetric unit:
Mg  0.0000  0.0000  0.0000 [3 per cell]  6 Os 2.78, 6 Mg 2.81
Os  0.0000  0.0000  0.5000 [3 per cell]  6 Mg 2.78, 6 Os 2.81


AcPrSb2 | PBE | relaxed

Computed properties:
- ΔE_f (raw) (eV per atom) = -1.195
- V (Å³ per cell) = 435.07

abc: 4.6801 4.6801 22.9359
angles: 90.00 90.00 120.00
With the nearest neighbours (Å) after each atom.
Space group R-3m (No. 166, hexagonal axes)
Asymmetric unit:
Ac  0.0000  0.0000  0.0000 [3 per cell]  6 Sb 3.37
Pr  0.0000  0.0000  0.5000 [3 per cell]  6 Sb 3.26
Sb  0.0000  0.0000  0.2458 [6 per cell]  3 Pr 3.26, 3 Ac 3.37


Y6HgAs2Se3 | PBE | relaxed

Computed properties:
- ΔE_f (raw) (eV per atom) = -1.498
- V (Å³ per cell) = 604.59

abc: 18.1063 4.0943 8.3850
angles: 90.00 103.43 90.00
With the nearest neighbours (Å) after each atom.
Space group C2/m (No. 12)
Asymmetric unit:
Y  0.0021  0.0000  0.2588 [4 per cell]  3 Se 2.88-2.99, 1 As 2.90, 2 Hg 2.98
Y  0.1685  0.5000  0.0925 [4 per cell]  3 Se 2.88-2.99, 2 As 2.89, 1 Hg 2.97
Y  0.1706  0.5000  0.5764 [4 per cell]  3 As 2.86-2.87, 3 Se 2.97-3.01
Hg  0.0000  0.5000  0.0000 [2 per cell]  6 Y 2.97-2.98
As  0.1669  0.0000  0.3348 [4 per cell]  6 Y 2.86-2.90
Se  0.0000  0.5000  0.5000 [2 per cell]  6 Y 2.88-3.01
Se  0.1679  0.0000  0.8317 [4 per cell]  6 Y 2.88-2.99


Li2Zr2PaSe6 | PBE | relaxed

Computed properties:
- ΔE_f (raw) (eV per atom) = -1.340
- V (Å³ per cell) = 511.28

abc: 6.6532 11.5271 7.0300
angles: 90.00 108.50 90.00
With the nearest neighbours (Å) after each atom.
Space group C2/m (No. 12)
Asymmetric unit:
Li  0.0000  0.1663  0.0000 [4 per cell]  6 Se 2.73-2.79
Zr  0.0000  0.3340  0.5000 [4 per cell]  6 Se 2.76-2.77
Pa  0.0000  0.0000  0.5000 [2 per cell]  6 Se 2.82-2.83
Se  0.2431  0.5000  0.7522 [4 per cell]  2 Zr 2.76, 2 Li 2.78, 1 Pa 2.83
Se  0.2458  0.3297  0.2481 [8 per cell]  2 Li 2.73-2.79, 2 Zr 2.77, 1 Pa 2.82


La2ErTi | PBE | relaxed

Computed properties:
- V (Å³ per cell) = 117.78
- energy of formation (eV per atom) = 0.20

abc: 3.5585 3.5585 9.3009
angles: 90.00 90.00 90.00
With the nearest neighbours (Å) after each atom.
Space group P4/mmm (No. 123)
Asymmetric unit:
La  0.0000  0.0000  0.2261 [2 per cell]  4 Ti 3.28, 4 La 3.56, 4 Er 3.58
Er  0.5000  0.5000  0.5000 [1 per cell]  4 Er 3.56, 8 La 3.58
Ti  0.5000  0.5000  0.0000 [1 per cell]  8 La 3.28, 4 Ti 3.56


Zr4H3N | PBE | relaxed

Computed properties:
- V (Å³ per cell) = 194.97
- total DFT energy (no corrections) (eV per atom) = -7.259

abc: 4.6963 4.6963 8.8402
angles: 90.00 90.00 90.00
With the nearest neighbours (Å) after each atom.
Space group I4/mmm (No. 139)
Asymmetric unit:
Zr  0.0000  0.0000  0.2487 [4 per cell]  1 N 2.20, 5 H 2.22-2.35
Zr  0.0000  0.5000  0.0000 [4 per cell]  4 H 2.21-2.35, 2 N 2.35
H  0.0000  0.0000  0.5000 [2 per cell]  6 Zr 2.22-2.35
H  0.0000  0.5000  0.2500 [4 per cell]  6 Zr 2.21-2.35
N  0.0000  0.0000  0.0000 [2 per cell]  6 Zr 2.20-2.35


La2YEr6 | PBE | relaxed

Computed properties:
- V (Å³ per cell) = 1168.91
- energy of formation (eV per atom) = 0.08

abc: 13.4265 11.7767 9.1061
angles: 90.00 125.73 90.00
With the nearest neighbours (Å) after each atom.
Space group C2/c (No. 15)
Asymmetric unit:
La  0.1900  0.0904  0.4347 [8 per cell]  7 Er 3.40-3.71, 2 Y 3.51-3.53
Y  0.0000  0.3301  0.2500 [4 per cell]  8 Er 3.49-3.75, 4 La 3.51-3.53
Er  0.0364  0.1322  0.9611 [8 per cell]  4 Er 3.18-3.46, 1 La 3.43
Er  0.0966  0.4082  0.6842 [8 per cell]  7 Er 3.43-3.66, 2 Y 3.49-3.53, 2 La 3.61-3.64
Er  0.2275  0.3361  0.1405 [8 per cell]  4 Er 3.18-3.54, 2 La 3.40-3.45


CoTc2W | PBE | relaxed

Computed properties:
- V (Å³ per cell) = 170.04
- energy of formation (eV per atom) = 0.19

abc: 2.7262 2.7262 26.4174
angles: 90.00 90.00 120.00
With the nearest neighbours (Å) after each atom.
Space group R3m (No. 160, hexagonal axes)
Asymmetric unit:
Co  0.0000  0.0000  0.0000 [3 per cell]  3 W 2.62, 3 Tc 2.65, 6 Co 2.73
Tc  0.0000  0.0000  0.2526 [3 per cell]  3 Co 2.65, 9 Tc 2.68-2.73
Tc  0.0000  0.0000  0.5039 [3 per cell]  9 Tc 2.68-2.73, 3 W 2.87
W  0.0000  0.0000  0.7462 [3 per cell]  3 Co 2.62, 6 W 2.73, 3 Tc 2.87


NbPtAu3 | PBE | relaxed

Computed properties:
- V (Å³ per cell) = 125.75
- energy of formation (eV per atom) = 1.13

abc: 5.0100 5.0100 5.0100
angles: 90.00 90.00 90.00
With the nearest neighbours (Å) after each atom.
Space group Pm-3m (No. 221)
Asymmetric unit:
Nb  0.0000  0.0000  0.0000 [1 per cell]  12 Au 3.54
Pt  0.5000  0.5000  0.5000 [1 per cell]  6 Au 2.51
Au  0.0000  0.5000  0.5000 [3 per cell]  2 Pt 2.51


Pr5SmEr6 | PBE | relaxed

Computed properties:
- V (Å³ per cell) = 792.85
- energy of formation (eV per atom) = 0.02

abc: 5.1388 10.0454 15.3588
angles: 90.00 90.00 90.00
With the nearest neighbours (Å) after each atom.
Space group Immm (No. 71)
Asymmetric unit:
Pr  0.0000  0.0000  0.0000 [2 per cell]  8 Er 3.59-3.60, 4 Pr 3.63
Pr  0.0000  0.0000  0.3344 [4 per cell]  8 Er 3.57-3.60, 2 Sm 3.62, 2 Pr 3.64
Pr  0.0000  0.5000  0.3333 [4 per cell]  8 Er 3.59-3.60, 4 Pr 3.63-3.64
Sm  0.0000  0.5000  0.0000 [2 per cell]  8 Er 3.58-3.59, 4 Pr 3.62
Er  0.0000  0.2492  0.5000 [4 per cell]  6 Pr 3.57-3.60, 2 Sm 3.59, 4 Er 3.62
Er  0.0000  0.2505  0.1664 [8 per cell]  1 Sm 3.58, 7 Pr 3.59-3.60, 4 Er 3.62-3.63


TaAl2Os | PBE | relaxed

Computed properties:
- V (Å³ per cell) = 242.72
- energy of formation (eV per atom) = -0.08

abc: 6.2378 6.2378 6.2378
angles: 90.00 90.00 90.00
With the nearest neighbours (Å) after each atom.
Space group Fm-3m (No. 225)
Asymmetric unit:
Ta  0.0000  0.0000  0.0000 [4 per cell]  8 Al 2.70
Al  0.2500  0.2500  0.2500 [8 per cell]  4 Ta 2.70, 4 Os 2.70
Os  0.0000  0.0000  0.5000 [4 per cell]  8 Al 2.70